(1)
Al2Ir: optimized geometry, PBEsol.

Its mass density is 9.1 Mg/m³. As for the calculated formation energy: -0.706 eV/atom. For the total magnetic moment, the calculation gives 0.00 Bohr magnetons per cell.

The structure belongs to space group C2/m (No. 12); the cell edges are 9.1804, 2.9888 and 7.1516 Å and the angles 90.00°, 113.44° and 90.00°. The inequivalent atoms are Al at (0.1082, 0.0000, 0.3831), Al at (0.1538, 0.5000, 0.0594) and Ir at (0.1388, 0.5000, 0.6932).


(2)
Al4Ir3: optimized geometry, PBEsol.

Its mass density is 11.5 Mg/m³. As for the calculated formation energy: -0.583 eV/atom. For the total magnetic moment, the calculation gives 0.00 Bohr magnetons per cell.

The structure belongs to space group I4/mmm (No. 139); the cell edges are 3.1981, 3.1981 and 19.3986 Å and the angles 90.00°, 90.00° and 90.00°. The inequivalent atoms are Al at (0.0000, 0.0000, 0.0685), Al at (0.0000, 0.0000, 0.3533), Ir at (0.0000, 0.0000, 0.2002) and Ir at (0.0000, 0.0000, 0.5000).


(3)
AlIr: optimized geometry, PBEsol.

Its mass density is 13.1 Mg/m³. As for the calculated formation energy: -0.600 eV/atom. For the total magnetic moment, the calculation gives 0.00 Bohr magnetons per cell.

The structure belongs to space group R-3m (No. 166, hexagonal axes); the cell edges are 2.8196, 2.8196 and 12.1476 Å and the angles 90.00°, 90.00° and 120.00°. The inequivalent atoms are Al at (0.0000, 0.0000, 0.0000) and Ir at (0.0000, 0.0000, 0.5000).


(4)
Al5Ir: optimized geometry, PBEsol.

Its mass density is 6.1 Mg/m³. As for the calculated formation energy: -0.283 eV/atom. For the total magnetic moment, the calculation gives 0.00 Bohr magnetons per cell.

The structure belongs to space group Cmmm (No. 65); the cell edges are 3.8810, 11.8530 and 3.8870 Å and the angles 90.00°, 90.00° and 90.00°. The inequivalent atoms are Al at (0.0000, 0.0000, 0.0000), Al at (0.0000, 0.1588, 0.5000), Al at (0.0000, 0.3375, 0.0000) and Ir at (0.0000, 0.5000, 0.5000).


(5)
Al2Ir: optimized geometry, PBEsol.

Its mass density is 9.3 Mg/m³. As for the calculated formation energy: -0.772 eV/atom. For the total magnetic moment, the calculation gives 0.00 Bohr magnetons per cell.

The structure belongs to space group Pnma (No. 62); the cell edges are 5.6291, 3.8869 and 8.0452 Å and the angles 90.00°, 90.00° and 90.00°. The inequivalent atoms are Al at (0.0621, 0.2500, 0.1524), Al at (0.1526, 0.2500, 0.5293) and Ir at (0.2498, 0.2500, 0.8365).


(6)
AlIr5: optimized geometry, PBEsol.

Its mass density is 19.6 Mg/m³. The distance to the lowest polymorph of the same formula is 0.014 eV per atom. As for the calculated formation energy: -0.218 eV/atom. For the total magnetic moment, the calculation gives 0.00 Bohr magnetons per cell.

The structure belongs to space group P4/mmm (No. 123); the cell edges are 2.7323, 2.7323 and 11.2102 Å and the angles 90.00°, 90.00° and 90.00°. The inequivalent atoms are Al at (0.0000, 0.0000, 0.0000), Ir at (0.0000, 0.0000, 0.3310), Ir at (0.5000, 0.5000, 0.1603) and Ir at (0.5000, 0.5000, 0.5000).